1.
Here is Pm6DyY3Ho2 after structural relaxation from the Alexandria database. Energies are from PBE.

Computed properties:
Total DFT energy (no corrections) in eV per atom: -5.126
M_tot in μB per formula unit: 0.0

a = 6.250 Å, b = 6.250 Å, c = 11.848 Å
α = 95.03°, β = 95.03°, γ = 119.99°
Fractional coordinates of all 12 atoms:
1 Y 0.167 0.833 0.500
2 Y 0.833 0.167 0.500
3 Y 0.500 0.500 0.500
4 Pm 0.083 0.417 0.249
5 Pm 0.917 0.583 0.751
6 Pm 0.583 0.917 0.751
7 Pm 0.750 0.750 0.249
8 Pm 0.417 0.083 0.249
9 Pm 0.250 0.250 0.751
10 Ho 0.667 0.333 0.000
11 Ho 0.333 0.667 0.000
12 Dy 0.000 0.000 0.000


2.
Here is Pm2Dy3Y6Ho after structural relaxation from the Alexandria database. Energies are from PBE.

Computed properties:
Total DFT energy (no corrections) in eV per atom: -5.537
M_tot in μB per formula unit: 0.0

a = 6.187 Å, b = 6.187 Å, c = 11.832 Å
α = 94.98°, β = 94.98°, γ = 119.95°
Fractional coordinates of all 12 atoms:
1 Dy 0.833 0.167 0.500
2 Dy 0.167 0.833 0.500
3 Dy 0.500 0.500 0.500
4 Y 0.417 0.084 0.252
5 Y 0.248 0.248 0.748
6 Y 0.084 0.417 0.252
7 Y 0.583 0.916 0.748
8 Y 0.752 0.752 0.252
9 Y 0.916 0.583 0.748
10 Pm 0.333 0.667 0.000
11 Pm 0.667 0.333 0.000
12 Ho 0.000 0.000 0.000


3.
Here is Pm2DyY2Ho after structural relaxation from the Alexandria database. Energies are from PBE.

Computed properties:
Total DFT energy (no corrections) in eV per atom: -5.014
M_tot in μB per formula unit: 0.0

a = 3.395 Å, b = 6.633 Å, c = 17.705 Å
α = 90.00°, β = 90.00°, γ = 90.00°
Fractional coordinates of all 12 atoms:
1 Ho 0.000 0.000 0.000
2 Ho 0.500 0.500 0.500
3 Pm 0.500 0.235 0.351
4 Pm 0.000 0.265 0.851
5 Pm 0.000 0.735 0.149
6 Pm 0.500 0.765 0.649
7 Y 0.500 0.738 0.320
8 Y 0.500 0.262 0.680
9 Y 0.000 0.762 0.820
10 Y 0.000 0.238 0.180
11 Dy 0.000 0.000 0.500
12 Dy 0.500 0.500 0.000


4.
Here is Pm2Dy2Y2Ho after structural relaxation from the Alexandria database. Energies are from PBE.

Computed properties:
Total DFT energy (no corrections) in eV per atom: -5.034
M_tot in μB per formula unit: 0.1

a = 5.708 Å, b = 5.708 Å, c = 8.792 Å
α = 71.06°, β = 71.06°, γ = 60.00°
Fractional coordinates of all 7 atoms:
1 Ho 0.000 0.000 0.000
2 Pm 0.139 0.139 0.583
3 Pm 0.861 0.861 0.417
4 Dy 0.284 0.284 0.149
5 Dy 0.716 0.716 0.851
6 Y 0.425 0.425 0.724
7 Y 0.575 0.575 0.276


5.
Here is PmDy2Y2Ho after structural relaxation from the Alexandria database. Energies are from PBE.

Computed properties:
Total DFT energy (no corrections) in eV per atom: -4.977
M_tot in μB per formula unit: 0.0

a = 3.405 Å, b = 6.538 Å, c = 17.793 Å
α = 90.00°, β = 90.00°, γ = 90.00°
Fractional coordinates of all 12 atoms:
1 Pm 0.000 0.000 0.000
2 Pm 0.500 0.500 0.500
3 Y 0.000 0.225 0.814
4 Y 0.000 0.775 0.186
5 Y 0.500 0.725 0.686
6 Y 0.500 0.275 0.314
7 Dy 0.000 0.723 0.853
8 Dy 0.500 0.777 0.353
9 Dy 0.500 0.223 0.647
10 Dy 0.000 0.277 0.147
11 Ho 0.500 0.500 0.000
12 Ho 0.000 0.000 0.500


6.
Here is PmDy2YHo2 after structural relaxation from the Alexandria database. Energies are from PBE.

Computed properties:
Total DFT energy (no corrections) in eV per atom: -4.653
M_tot in μB per formula unit: 0.0

a = 3.395 Å, b = 6.584 Å, c = 17.632 Å
α = 90.00°, β = 90.00°, γ = 90.00°
Fractional coordinates of all 12 atoms:
1 Pm 0.500 0.500 0.500
2 Pm 0.000 0.000 0.000
3 Y 0.000 0.000 0.500
4 Y 0.500 0.500 0.000
5 Ho 0.000 0.232 0.182
6 Ho 0.000 0.768 0.818
7 Ho 0.500 0.268 0.682
8 Ho 0.500 0.732 0.318
9 Dy 0.000 0.271 0.850
10 Dy 0.500 0.771 0.650
11 Dy 0.500 0.229 0.350
12 Dy 0.000 0.729 0.150


7.
Here is PmDy2YHo after structural relaxation from the Alexandria database. Energies are from PBE.

Computed properties:
Total DFT energy (no corrections) in eV per atom: -4.618
M_tot in μB per formula unit: 0.0

a = 7.193 Å, b = 8.373 Å, c = 7.113 Å
α = 126.06°, β = 90.00°, γ = 90.00°
Fractional coordinates of all 10 atoms:
1 Ho 0.750 0.012 0.024
2 Ho 0.250 0.988 0.976
3 Dy 0.000 0.309 0.000
4 Dy 0.500 0.691 0.000
5 Dy 0.000 0.691 0.000
6 Dy 0.500 0.309 0.000
7 Pm 0.750 0.279 0.559
8 Pm 0.250 0.721 0.441
9 Y 0.250 0.268 0.537
10 Y 0.750 0.732 0.463


8.
Here is PmDy5Y2Ho after structural relaxation from the Alexandria database. Energies are from PBE.

Computed properties:
Total DFT energy (no corrections) in eV per atom: -4.876
M_tot in μB per formula unit: 0.0

a = 5.623 Å, b = 10.282 Å, c = 10.581 Å
α = 90.00°, β = 90.00°, γ = 105.87°
Fractional coordinates of all 18 atoms:
1 Dy 0.019 0.038 0.025
2 Dy 0.718 0.435 0.811
3 Dy 0.521 0.042 0.238
4 Dy 0.298 0.597 0.708
5 Dy 0.479 0.958 0.738
6 Dy 0.611 0.222 0.522
7 Dy 0.282 0.565 0.311
8 Dy 0.702 0.403 0.208
9 Dy 0.389 0.778 0.022
10 Dy 0.981 0.962 0.525
11 Ho 0.799 0.598 0.511
12 Ho 0.201 0.402 0.011
13 Y 0.111 0.221 0.735
14 Y 0.114 0.228 0.320
15 Y 0.889 0.779 0.235
16 Y 0.886 0.772 0.820
17 Pm 0.584 0.169 0.955
18 Pm 0.416 0.831 0.455


9.
Here is PmDy6Y2Ho3 after structural relaxation from the Alexandria database. Energies are from PBE.

Computed properties:
Total DFT energy (no corrections) in eV per atom: -4.901
M_tot in μB per formula unit: 0.0

a = 6.147 Å, b = 6.147 Å, c = 11.775 Å
α = 94.96°, β = 94.96°, γ = 119.95°
Fractional coordinates of all 12 atoms:
1 Dy 0.249 0.249 0.748
2 Dy 0.751 0.751 0.252
3 Dy 0.418 0.085 0.252
4 Dy 0.915 0.582 0.748
5 Dy 0.582 0.915 0.748
6 Dy 0.085 0.418 0.252
7 Ho 0.833 0.167 0.500
8 Ho 0.500 0.500 0.500
9 Ho 0.167 0.833 0.500
10 Y 0.667 0.333 0.000
11 Y 0.333 0.667 0.000
12 Pm 0.000 0.000 0.000


10.
Here is PmDy6Y2Ho after structural relaxation from the Alexandria database. Energies are from PBE.

Computed properties:
Total DFT energy (no corrections) in eV per atom: -4.860
M_tot in μB per formula unit: 0.0

a = 9.566 Å, b = 8.779 Å, c = 8.779 Å
α = 117.51°, β = 93.88°, γ = 93.88°
Fractional coordinates of all 20 atoms:
1 Ho 0.250 0.974 0.026
2 Ho 0.750 0.026 0.974
3 Y 0.455 0.806 0.704
4 Y 0.955 0.704 0.806
5 Y 0.545 0.194 0.296
6 Y 0.045 0.296 0.194
7 Dy 0.120 0.708 0.492
8 Dy 0.816 0.428 0.977
9 Dy 0.943 0.880 0.248
10 Dy 0.184 0.572 0.023
11 Dy 0.380 0.508 0.292
12 Dy 0.443 0.248 0.880
13 Dy 0.620 0.492 0.708
14 Dy 0.684 0.023 0.572
15 Dy 0.557 0.752 0.120
16 Dy 0.880 0.292 0.508
17 Dy 0.057 0.120 0.752
18 Dy 0.316 0.977 0.428
19 Pm 0.750 0.593 0.407
20 Pm 0.250 0.407 0.593


11.
Here is Pm6Dy2YHo3 after structural relaxation from the Alexandria database. Energies are from PBE.

Computed properties:
Total DFT energy (no corrections) in eV per atom: -4.813
M_tot in μB per formula unit: 0.0

a = 6.240 Å, b = 6.240 Å, c = 11.830 Å
α = 95.02°, β = 95.02°, γ = 119.99°
Fractional coordinates of all 12 atoms:
1 Pm 0.916 0.582 0.749
2 Pm 0.084 0.418 0.251
3 Pm 0.250 0.250 0.749
4 Pm 0.750 0.750 0.251
5 Pm 0.418 0.084 0.251
6 Pm 0.582 0.916 0.749
7 Y 0.000 0.000 0.000
8 Dy 0.667 0.333 0.000
9 Dy 0.333 0.667 0.000
10 Ho 0.833 0.167 0.500
11 Ho 0.500 0.500 0.500
12 Ho 0.167 0.833 0.500


12.
Here is Pm2DyYHo5 after structural relaxation from the Alexandria database. Energies are from PBE.

Computed properties:
Total DFT energy (no corrections) in eV per atom: -4.554
M_tot in μB per formula unit: 0.0

a = 8.605 Å, b = 8.605 Å, c = 9.911 Å
α = 115.73°, β = 115.73°, γ = 90.00°
Fractional coordinates of all 18 atoms:
1 Pm 0.117 0.383 0.000
2 Pm 0.383 0.883 0.000
3 Pm 0.883 0.617 0.000
4 Pm 0.617 0.117 0.000
5 Ho 0.927 0.427 0.279
6 Ho 0.000 0.000 0.000
7 Ho 0.352 0.852 0.279
8 Ho 0.852 0.927 0.279
9 Ho 0.573 0.648 0.721
10 Ho 0.073 0.573 0.721
11 Ho 0.427 0.352 0.279
12 Ho 0.500 0.500 0.000
13 Ho 0.148 0.073 0.721
14 Ho 0.648 0.148 0.721
15 Dy 0.250 0.250 0.500
16 Dy 0.750 0.750 0.500
17 Y 0.250 0.750 0.500
18 Y 0.750 0.250 0.500